Computed, not measured: a geometry-optimized Ce2NdHo3As6 structure at the GGA-PBE level of DFT. Values from VASP.

Structure (Quantum ESPRESSO input):
```
&SYSTEM
  ibrav = 0, nat = 12, ntyp = 4
/
ATOMIC_SPECIES
Nd 144.24 Nd.upf
As 74.92 As.upf
Ce 140.12 Ce.upf
Ho 164.93 Ho.upf
ATOMIC_POSITIONS angstrom
Nd -0.435 1.081 -1.730
As -6.045 -0.447 1.239
As -0.291 3.632 -0.173
As -1.777 4.882 3.497
As -0.153 8.591 2.891
As -5.907 4.513 4.303
As -4.421 3.262 0.633
Ce -1.915 2.352 1.950
Ce -4.283 5.792 2.179
Ho -4.506 0.773 -0.901
Ho -5.998 2.034 2.777
Ho -0.200 6.111 1.353
CELL_PARAMETERS angstrom
-0.869 2.162 -3.461
-8.142 -0.617 1.660
2.814 6.599 5.931
```

## Properties
- magnetization (μB/f.u.) = 1.27
- SG = C2/m
- formation energy (eV per atom) = -1.49